Entry from Alexandria via LeMat-Bulk: a relaxed Cs2Cl6F crystal (PBE-GGA).

Properties
Density   2452 kg/m3
Raw total energy   -2.640 eV per atom
Magnetic moment   1.0 Bohr magnetons per cell
Formation energy without anion corrections   -878.3 kJ/mol of formula units

Cell lengths 4.5166, 8.9220, 9.1351 Å; angles 69.41, 89.88, 78.68 degrees
With the nearest neighbours (Å) after each atom.
Fractional coordinates of all 9 atoms:
Cs1 0.0130 0.4593 0.2864  2 F 3.08-3.10
Cs2 0.9870 0.5407 0.7136  2 F 3.08-3.10
Cl1 0.4330 0.6595 0.9628  2 Cl 2.63-2.82
Cl2 0.4691 0.0354 0.2383  1 Cl 2.08
Cl3 0.4690 0.7903 0.3608  1 Cl 2.08
Cl4 0.5310 0.2097 0.6392  1 Cl 2.08
Cl5 0.5309 0.9646 0.7617  1 Cl 2.08
Cl6 0.5670 0.3405 0.0372  2 Cl 2.63-2.82
F1 0.5000 0.5000 0.5000  2 Cl 2.43